(1)
La3Tl3In: relaxed, PBE-GGA.

Cell: 5.4713 9.5663 9.5663 Å, 120.00 90.00 90.00°
With the nearest neighbours (Å) after each atom.
Atoms (fractional coordinates):
Tl 0.7500 0.1864 0.2341  4 La 3.31-3.42, 6 Tl 3.42-3.55, 1 In 3.64
Tl 0.2500 0.9523 0.1864  4 La 3.31-3.42, 6 Tl 3.42-3.55, 1 In 3.64
Tl 0.2500 0.8136 0.7659  4 La 3.31-3.42, 6 Tl 3.42-3.55, 1 In 3.64
Tl 0.2500 0.2341 0.0477  4 La 3.31-3.42, 6 Tl 3.42-3.55, 1 In 3.64
Tl 0.7500 0.0477 0.8136  4 La 3.31-3.42, 6 Tl 3.42-3.55, 1 In 3.64
Tl 0.7500 0.7659 0.9523  4 La 3.31-3.42, 6 Tl 3.42-3.55, 1 In 3.64
La 0.7500 0.4491 0.0967  4 Tl 3.31-3.42, 3 In 3.50-3.69, 2 La 3.70
La 0.2500 0.3524 0.4491  4 Tl 3.31-3.42, 3 In 3.50-3.69, 2 La 3.70
La 0.7500 0.6476 0.5509  4 Tl 3.31-3.42, 3 In 3.50-3.69, 2 La 3.70
La 0.2500 0.0967 0.6476  4 Tl 3.31-3.42, 3 In 3.50-3.69, 2 La 3.70
La 0.2500 0.5509 0.9033  4 Tl 3.31-3.42, 3 In 3.50-3.69, 2 La 3.70
La 0.7500 0.9033 0.3524  4 Tl 3.31-3.42, 3 In 3.50-3.69, 2 La 3.70
In 0.2500 0.6667 0.3333  9 La 3.50-3.69, 3 Tl 3.64
In 0.7500 0.3333 0.6667  9 La 3.50-3.69, 3 Tl 3.64

Summary:
The calculation puts the total energy at -3.85 eV/atom. Its excess energy over the best structure of this formula in the dataset is 0.072 eV/atom. The calculation puts the density at 8.77 g/cm3. The formation energy from the elements is -0.330 eV/atom.

---

(2)
Y3InO: relaxed, PBE-GGA.

Cell: 6.9202 6.4646 9.4221 Å, 115.80 72.68 61.49°
With the nearest neighbours (Å) after each atom.
Atoms (fractional coordinates):
In 0.8559 0.6565 0.6570  1 In 3.07, 5 Y 3.21-3.27
In 0.9198 0.8130 0.3921  1 In 3.07, 5 Y 3.23-3.30
Y 0.5702 0.1259 0.1332  1 O 2.21
Y 0.0473 0.1108 0.2246  1 O 2.34
Y 0.3288 0.6202 0.6722  1 O 2.22
Y 0.7352 0.3534 0.8296  2 O 2.20-2.22
Y 0.4393 0.8525 0.3878  2 O 2.25-2.26
Y 0.2158 0.3185 0.9136  1 O 2.20
O 0.1842 0.0363 0.7021  4 Y 2.20-2.26
O 0.5034 0.8225 0.1283  4 Y 2.21-2.34

Summary:
The value obtained for the uncorrected formation energy is -1.3459 eV per atom. The calculation puts the total energy at -6.76 eV/atom. The calculation puts the density at 5.15 g/cm3.